No. 1
A plane-wave DFT calculation with PBE was carried out for a relaxed structure of GaAgHg3.

Properties
ρ ... 8.8 g cm⁻³
Formation energy ... 31 kJ/mol of atoms
M_tot ... 0.00 μB per atom
ΔE to the lowest computed polymorph ... 10 meV per atom
Energy ... -1.04 eV per atom

CIF file:
```
data_GaAgHg3
_chemical_formula_sum 'Ga1 Ag1 Hg3'
_cell_length_a 5.271
_cell_length_b 5.271
_cell_length_c 5.271
_cell_angle_alpha 90.00
_cell_angle_beta 90.00
_cell_angle_gamma 90.00
_space_group_name_H-M_alt 'P 1'
_space_group_IT_number 1
_space_group_name_Hall 'P 1'
loop_
_atom_site_label
_atom_site_fract_x
_atom_site_fract_y
_atom_site_fract_z
_atom_site_occupancy
Hg1 0.000 0.000 0.500 1
Hg2 0.500 0.000 0.000 1
Hg3 0.000 0.500 0.000 1
Ag1 0.500 0.500 0.500 1
Ga1 0.000 0.000 0.000 1
```

***

No. 2
A plane-wave DFT calculation with PBE was carried out for a relaxed structure of Ga8Ag6Hg.

Properties
ρ ... 8.2 g cm⁻³
Formation energy ... 2 kJ/mol of atoms
M_tot ... 0.00 μB per atom
Energy ... -2.76 eV per atom

CIF file:
```
data_Ga8Ag6Hg
_chemical_formula_sum 'Ga8 Ag6 Hg1'
_cell_length_a 7.063
_cell_length_b 7.063
_cell_length_c 7.063
_cell_angle_alpha 66.46
_cell_angle_beta 66.46
_cell_angle_gamma 66.46
_space_group_name_H-M_alt 'P 1'
_space_group_IT_number 1
_space_group_name_Hall 'P 1'
loop_
_atom_site_label
_atom_site_fract_x
_atom_site_fract_y
_atom_site_fract_z
_atom_site_occupancy
Ag1 0.841 0.678 0.401 1
Ag2 0.678 0.401 0.841 1
Ag3 0.159 0.322 0.599 1
Ag4 0.401 0.841 0.678 1
Ag5 0.599 0.159 0.322 1
Ag6 0.322 0.599 0.159 1
Ga1 0.853 0.189 0.537 1
Ga2 0.227 0.227 0.227 1
Ga3 0.189 0.537 0.853 1
Ga4 0.537 0.853 0.189 1
Ga5 0.463 0.147 0.811 1
Ga6 0.811 0.463 0.147 1
Ga7 0.773 0.773 0.773 1
Ga8 0.147 0.811 0.463 1
Hg1 0.000 0.000 0.000 1
```